Entry P
TbHo3S4: optimized geometry, PBE.

Values from the calculation:
Volume, Å³/f.u.: 167.0
SG: Cmmm

Structure (POSCAR):
```
TbHo3S4
1.0
3.924 -5.511 0.000
3.924 5.511 0.000
0.000 0.000 3.863
Tb Ho S
1 3 4
Direct
0.000 0.000 0.000 Tb
0.000 0.500 0.500 Ho
0.500 0.000 0.500 Ho
0.500 0.500 0.000 Ho
0.251 0.749 0.000 S
0.253 0.253 0.500 S
0.747 0.747 0.500 S
0.749 0.251 0.000 S
```

=====

Entry Q
TbHo3S4: optimized geometry, PBE.

Values from the calculation:
Volume, Å³/f.u.: 167.2
SG: Pm-3m

Structure (POSCAR):
```
TbHo3S4
1.0
5.509 0.000 0.000
0.000 5.509 0.000
0.000 0.000 5.509
Tb Ho S
1 3 4
Direct
0.000 0.000 0.000 Tb
0.000 0.500 0.500 Ho
0.500 0.000 0.500 Ho
0.500 0.500 0.000 Ho
0.000 0.000 0.500 S
0.000 0.500 0.000 S
0.500 0.000 0.000 S
0.500 0.500 0.500 S
```

=====

Computed stability ranking, most favorable first: entry P, entry Q

=====

Entry P
TbHo2S4: optimized geometry, PBE.

Values from the calculation:
Volume, Å³/f.u.: 160.1
SG: Cmcm

Structure (POSCAR):
```
TbHo2S4
1.0
1.901 -6.434 0.000
1.901 6.434 0.000
0.000 0.000 13.089
Tb Ho S
2 4 8
Direct
0.127 0.873 0.750 Tb
0.873 0.127 0.250 Tb
0.370 0.630 0.570 Ho
0.370 0.630 0.930 Ho
0.630 0.370 0.070 Ho
0.630 0.370 0.430 Ho
0.000 0.000 0.000 S
0.000 0.000 0.500 S
0.276 0.724 0.122 S
0.276 0.724 0.378 S
0.471 0.529 0.750 S
0.529 0.471 0.250 S
0.724 0.276 0.622 S
0.724 0.276 0.878 S
```

=====

Entry Q
TbHo2S4: optimized geometry, PBE.

Values from the calculation:
Volume, Å³/f.u.: 174.0
SG: C2/m

Structure (POSCAR):
```
TbHo2S4
1.0
7.199 -1.967 0.000
7.199 1.967 0.000
-3.018 0.000 6.141
Tb Ho S
1 2 4
Direct
0.000 0.000 0.000 Tb
0.271 0.271 0.278 Ho
0.729 0.729 0.722 Ho
0.126 0.126 0.442 S
0.361 0.361 0.998 S
0.639 0.639 0.002 S
0.874 0.874 0.558 S
```

=====

Computed stability ranking, most favorable first: entry P, entry Q

=====

Entry P
Ho2TeS: optimized geometry, PBE.

Values from the calculation:
Volume, Å³/f.u.: 98.5
SG: R-3m

Structure (POSCAR):
```
Ho2TeS
1.0
2.033 1.174 6.884
-2.033 1.174 6.884
0.000 -2.347 6.884
Ho Te S
2 1 1
Direct
0.234 0.234 0.234 Ho
0.766 0.766 0.766 Ho
0.000 0.000 0.000 Te
0.500 0.500 0.500 S
```

=====

Entry Q
Ho2TeS: optimized geometry, PBE.

Values from the calculation:
Volume, Å³/f.u.: 98.0
SG: R3m

Structure (POSCAR):
```
Ho2TeS
1.0
1.997 1.153 7.094
-1.997 1.153 7.094
0.000 -2.306 7.094
Ho Te S
2 1 1
Direct
0.000 0.000 0.000 Ho
0.195 0.195 0.195 Ho
0.765 0.765 0.765 Te
0.595 0.595 0.595 S
```

=====

Entry R
Ho2TeS: optimized geometry, PBE.

Values from the calculation:
Volume, Å³/f.u.: 101.9
SG: Pmna

Structure (POSCAR):
```
Ho2TeS
1.0
5.697 0.000 0.000
0.000 6.279 0.000
0.000 0.000 11.393
Ho Te S
8 4 4
Direct
0.000 0.185 0.136 Ho
0.000 0.192 0.608 Ho
0.000 0.808 0.392 Ho
0.000 0.815 0.864 Ho
0.500 0.185 0.364 Ho
0.500 0.192 0.892 Ho
0.500 0.808 0.108 Ho
0.500 0.815 0.636 Ho
0.000 0.310 0.871 Te
0.000 0.690 0.129 Te
0.500 0.310 0.629 Te
0.500 0.690 0.371 Te
0.000 0.242 0.371 S
0.000 0.758 0.629 S
0.500 0.242 0.129 S
0.500 0.758 0.871 S
```

=====

Computed stability ranking, most favorable first: entry Q, entry P, entry R